# 1
The following is a DFT calculation (GGA-PBE) of a relaxed structure of SrCuBr.

Cell lengths 5.0856, 5.0856, 5.0856 Å; angles 60.00, 60.00, 60.00 degrees
Last column: nearest neighbours and their distance in Å.
Positions (direct):
1 Sr 0.0000 0.0000 0.0000  4 Cu 3.11
2 Cu 0.7500 0.7500 0.7500  4 Br 3.11, 4 Sr 3.11
3 Br 0.5000 0.5000 0.5000  4 Cu 3.11

Calculated values
* formation energy without anion corrections: -42.1 kJ/mol of atoms
* raw total energy: -2.920 eV per atom
* energy above the most stable polymorph in this dataset: 0.651 eV/f.u.

---

# 2
The following is a DFT calculation (GGA-PBE) of a relaxed structure of SrCuBr2.

Cell lengths 5.3654, 5.3654, 5.3654 Å; angles 60.00, 60.00, 60.00 degrees
Last column: nearest neighbours and their distance in Å.
Positions (direct):
1 Sr 0.0000 0.0000 0.0000  4 Cu 3.29, 4 Br 3.29
2 Cu 0.7500 0.7500 0.7500  4 Sr 3.29, 4 Br 3.29
3 Br 0.2500 0.2500 0.2500  4 Br 3.29, 4 Sr 3.29
4 Br 0.5000 0.5000 0.5000  4 Br 3.29, 4 Cu 3.29

Calculated values
* formation energy without anion corrections: -56.9 kJ/mol of atoms
* raw total energy: -2.871 eV per atom
* energy above the most stable polymorph in this dataset: 1.410 eV/f.u.

---

# 3
The following is a DFT calculation (GGA-PBE) of a relaxed structure of SrCuBr3.

Cell lengths 5.8570, 5.8570, 5.8570 Å; angles 90.00, 90.00, 90.00 degrees
Last column: nearest neighbours and their distance in Å.
Positions (direct):
1 Sr 0.0000 0.0000 0.0000  6 Br 2.93
2 Cu 0.5000 0.5000 0.5000  12 Br 4.14
3 Br 0.0000 0.0000 0.5000  2 Sr 2.93
4 Br 0.0000 0.5000 0.0000  2 Sr 2.93
5 Br 0.5000 0.0000 0.0000  2 Sr 2.93

Calculated values
* formation energy without anion corrections: -67.4 kJ/mol of atoms
* raw total energy: -2.858 eV per atom
* energy above the most stable polymorph in this dataset: 3.233 eV/f.u.

---

# 4
The following is a DFT calculation (GGA-PBE) of a relaxed structure of SrCuBr2.

Cell lengths 5.6075, 5.6075, 5.4480 Å; angles 96.33, 96.33, 48.51 degrees
Last column: nearest neighbours and their distance in Å.
Positions (direct):
1 Sr 0.0000 0.0000 0.0000  4 Br 3.09
2 Cu 0.5000 0.5000 0.5000  2 Br 2.43
3 Br 0.3258 0.3258 0.7658  1 Cu 2.43
4 Br 0.6742 0.6742 0.2342  1 Cu 2.43

Calculated values
* formation energy without anion corrections: -82.0 kJ/mol of atoms
* raw total energy: -3.131 eV per atom
* energy above the most stable polymorph in this dataset: 0.371 eV/f.u.

---

# 5
The following is a DFT calculation (GGA-PBE) of a relaxed structure of SrCuBr2.

Cell lengths 9.5520, 9.5520, 9.5520 Å; angles 146.85, 146.85, 47.59 degrees
Last column: nearest neighbours and their distance in Å.
Positions (direct):
1 Sr 0.0000 0.0000 0.0000  4 Br 3.02
2 Sr 0.7500 0.2500 0.5000  4 Br 3.02
3 Cu 0.2500 0.7500 0.5000  4 Br 2.82
4 Cu 0.5000 0.5000 0.0000  4 Br 2.82
5 Br 0.1658 0.6250 0.0408  2 Cu 2.82, 2 Sr 3.02
6 Br 0.3750 0.4158 0.5408  2 Cu 2.82, 2 Sr 3.02
7 Br 0.5842 0.1250 0.9592  2 Cu 2.82, 2 Sr 3.02
8 Br 0.8750 0.8342 0.4592  2 Cu 2.82, 2 Sr 3.02

Calculated values
* formation energy without anion corrections: -75.8 kJ/mol of atoms
* raw total energy: -3.067 eV per atom
* energy above the most stable polymorph in this dataset: 0.627 eV/f.u.

---

# 6
The following is a DFT calculation (GGA-PBE) of a relaxed structure of SrCuBr3.

Cell lengths 7.9993, 7.1358, 10.4280 Å; angles 90.00, 90.00, 90.00 degrees
Last column: nearest neighbours and their distance in Å.
Positions (direct):
1 Sr 0.1193 0.0610 0.0000  6 Br 3.11-3.18
2 Sr 0.3807 0.5610 0.5000  6 Br 3.11-3.18
3 Sr 0.6193 0.4390 0.0000  6 Br 3.11-3.18
4 Sr 0.8807 0.9390 0.5000  6 Br 3.11-3.18
5 Cu 0.1528 0.5914 0.1568  3 Br 2.36-2.43
6 Cu 0.3472 0.0914 0.6568  3 Br 2.36-2.43
7 Cu 0.6528 0.9086 0.1568  3 Br 2.36-2.43
8 Cu 0.8472 0.4086 0.6568  3 Br 2.36-2.43
9 Br 0.0485 0.3334 0.4987  1 Cu 2.37
10 Br 0.1740 0.8265 0.6866  1 Cu 2.36
11 Br 0.1786 0.8310 0.3207  1 Cu 2.43
12 Br 0.3214 0.3310 0.8207  1 Cu 2.43
13 Br 0.3260 0.3265 0.1866  1 Cu 2.36
14 Br 0.4515 0.8334 0.9987  1 Cu 2.37
15 Br 0.5485 0.1666 0.4987  1 Cu 2.37
16 Br 0.6740 0.6735 0.6866  1 Cu 2.36
17 Br 0.6786 0.6690 0.3207  1 Cu 2.43
18 Br 0.8214 0.1690 0.8207  1 Cu 2.43
19 Br 0.8260 0.1735 0.1866  1 Cu 2.36
20 Br 0.9515 0.6666 0.9987  1 Cu 2.37

Calculated values
* formation energy without anion corrections: -129.8 kJ/mol of atoms
* raw total energy: -3.505 eV per atom
* energy above the most stable polymorph in this dataset: 0.000 eV/f.u.

---

# 7
The following is a DFT calculation (GGA-PBE) of a relaxed structure of Sr3CuBr.

Cell lengths 5.9864, 5.9864, 5.9864 Å; angles 90.00, 90.00, 90.00 degrees
Last column: nearest neighbours and their distance in Å.
Positions (direct):
1 Sr 0.0000 0.0000 0.5000  2 Cu 2.99
2 Sr 0.0000 0.5000 0.0000  2 Cu 2.99
3 Sr 0.5000 0.0000 0.0000  2 Cu 2.99
4 Cu 0.0000 0.0000 0.0000  6 Sr 2.99
5 Br 0.5000 0.5000 0.5000  12 Sr 4.23

Calculated values
* formation energy without anion corrections: -32.9 kJ/mol of atoms
* raw total energy: -2.504 eV per atom
* energy above the most stable polymorph in this dataset: 0.000 eV/f.u.

---

# 8
The following is a DFT calculation (GGA-PBE) of a relaxed structure of SrCuBr.

Cell lengths 5.2005, 5.2005, 5.2005 Å; angles 60.00, 60.00, 60.00 degrees
Last column: nearest neighbours and their distance in Å.
Positions (direct):
1 Sr 0.0000 0.0000 0.0000  4 Br 3.18, 4 Cu 3.18
2 Cu 0.2500 0.2500 0.2500  4 Sr 3.18
3 Br 0.7500 0.7500 0.7500  4 Sr 3.18

Calculated values
* formation energy without anion corrections: -63.0 kJ/mol of atoms
* raw total energy: -3.137 eV per atom
* energy above the most stable polymorph in this dataset: 0.000 eV/f.u.

---

# 9
The following is a DFT calculation (GGA-PBE) of a relaxed structure of SrTlCuBr4.

Cell lengths 7.0434, 7.4237, 9.1259 Å; angles 90.00, 108.44, 90.00 degrees
Last column: nearest neighbours and their distance in Å.
Positions (direct):
1 Sr 0.2308 0.2500 0.0575  6 Br 3.04-3.17
2 Sr 0.7692 0.7500 0.9425  6 Br 3.04-3.17
3 Tl 0.2529 0.2500 0.5604  6 Br 3.26-3.59
4 Tl 0.7471 0.7500 0.4396  6 Br 3.26-3.59
5 Cu 0.2232 0.7500 0.8126  4 Br 2.44-2.49
6 Cu 0.7768 0.2500 0.1874  4 Br 2.44-2.49
7 Br 0.0106 0.5061 0.2248  1 Cu 2.47
8 Br 0.0106 0.9939 0.2248  1 Cu 2.47
9 Br 0.4221 0.7500 0.6371  1 Cu 2.44
10 Br 0.4360 0.7500 0.0887  1 Cu 2.49
11 Br 0.5640 0.2500 0.9113  1 Cu 2.49
12 Br 0.5779 0.2500 0.3629  1 Cu 2.44
13 Br 0.9894 0.0061 0.7752  1 Cu 2.47
14 Br 0.9894 0.4939 0.7752  1 Cu 2.47

Calculated values
* formation energy without anion corrections: -117.5 kJ/mol of atoms
* raw total energy: -3.338 eV per atom

---

# 10
The following is a DFT calculation (GGA-PBE) of a relaxed structure of TaCuBr.

Cell lengths 4.4728, 4.4728, 3.0386 Å; angles 90.00, 90.00, 120.00 degrees
Last column: nearest neighbours and their distance in Å.
Positions (direct):
1 Ta 0.0000 0.0000 0.0000  3 Br 2.58
2 Cu 0.3333 0.6667 0.5000  6 Ta 3.00, 6 Br 3.00, 2 Cu 3.04
3 Br 0.6667 0.3333 0.0000  3 Ta 2.58

Calculated values
* formation energy without anion corrections: 60.9 kJ/mol of atoms
* raw total energy: -5.243 eV per atom
* energy above the most stable polymorph in this dataset: 1.238 eV/f.u.

---

# 11
The following is a DFT calculation (GGA-PBE) of a relaxed structure of TaCu2Br.

Cell lengths 3.1290, 3.1290, 7.0101 Å; angles 90.00, 90.00, 90.00 degrees
Last column: nearest neighbours and their distance in Å.
Positions (direct):
1 Ta 0.0000 0.0000 0.0000  5 Cu 2.67-2.70, 4 Br 2.87
2 Cu 0.0000 0.0000 0.6194  4 Cu 2.48, 1 Ta 2.67
3 Cu 0.5000 0.5000 0.7796  4 Cu 2.48, 4 Ta 2.70
4 Br 0.5000 0.5000 0.2601  4 Ta 2.87, 4 Br 3.13

Calculated values
* formation energy without anion corrections: 24.2 kJ/mol of atoms
* raw total energy: -5.179 eV per atom
* energy above the most stable polymorph in this dataset: 0.000 eV/f.u.

---

# 12
The following is a DFT calculation (GGA-PBE) of a relaxed structure of TaCu2Br.

Cell lengths 8.9605, 8.9605, 8.9605 Å; angles 19.92, 19.92, 19.92 degrees
Last column: nearest neighbours and their distance in Å.
Positions (direct):
1 Ta 0.0000 0.0000 0.0000  3 Br 2.64, 3 Cu 2.72
2 Cu 0.2555 0.2555 0.2555  3 Cu 2.47, 3 Ta 2.72
3 Cu 0.5242 0.5242 0.5242  3 Cu 2.47
4 Br 0.7404 0.7404 0.7404  3 Ta 2.64

Calculated values
* formation energy without anion corrections: 25.1 kJ/mol of atoms
* raw total energy: -5.170 eV per atom
* energy above the most stable polymorph in this dataset: 0.038 eV/f.u.